# 1
Ce2Ag2Au | PBE | optimized geometry

abc: 10.9255 4.6987 9.6411
angles: 90.00 106.65 90.00
With the nearest neighbours (Å) after each atom.
Space group C2/m (No. 12)
Symmetry-distinct sites (fractional):
1 Ce 0.0919 0.0000 0.3818  4 Au 3.22-3.48, 7 Ag 3.22-3.26, 1 Ce 3.44
2 Ce 0.1845 0.0000 0.0514  2 Ce 3.06, 3 Au 3.15-3.40, 6 Ag 3.23-3.42
3 Ag 0.0071 0.5000 0.8595  2 Ag 2.76-2.86, 1 Au 2.83
4 Ag 0.1095 0.5000 0.6176  2 Au 2.78, 2 Ag 2.79-2.86
5 Au 0.2404 0.0000 0.7220  3 Ag 2.78-2.83

## Properties
- calculated formation energy (eV/atom) = -0.263
- DFT total energy (eV/cell) = -88.655


# 2
K2LiLaSi | PBE | optimized geometry

abc: 5.2057 5.2057 6.3166
angles: 90.00 90.00 90.00
With the nearest neighbours (Å) after each atom.
Space group P4/mmm (No. 123)
Symmetry-distinct sites (fractional):
1 K 0.0000 0.5000 0.0000  2 Li 2.60
2 Li 0.0000 0.0000 0.0000  4 K 2.60
3 La 0.0000 0.0000 0.5000  2 Li 3.16
4 Si 0.5000 0.5000 0.5000  4 La 3.68, 8 K 4.09

## Properties
- DFT total energy (eV/cell) = -10.972
- ΔE_f (raw) (kJ/mol of formula units) = 336


Number 1: total magnetic moment 2.2 μB/f.u., density of states at the Fermi level 13.5 states/eV/f.u.. Number 2: total magnetic moment 0.0 μB/f.u., density of states at the Fermi level 2.7 states/eV/f.u..